w | RbBaP2S: optimized geometry, PBE.

Cell lengths 6.2864, 6.2864, 5.8835 Å; angles 90.00, 90.00, 90.00 degrees
Space group P4/mmm (No. 123)
Unique sites:
Rb 0.0000 0.0000 0.0000 x1
Ba 0.5000 0.5000 0.5000 x1
P 0.0000 0.5000 0.5000 x2
S 0.5000 0.5000 0.0000 x1

Values from the calculation:
As for the crystal system: tetragonal.

=====

x | RbBaP2S: optimized geometry, PBE.

Cell lengths 5.4391, 5.4391, 5.7602 Å; angles 90.00, 90.00, 90.00 degrees
Space group P4/mmm (No. 123)
Unique sites:
Rb 0.0000 0.0000 0.0000 x1
Ba 0.5000 0.5000 0.5000 x1
P 0.0000 0.5000 0.0000 x2
S 0.0000 0.0000 0.5000 x1

Values from the calculation:
As for the crystal system: tetragonal.

=====

Tell me which of them is the most stable. Sure, it is w.

=====

w | RbBaPS2: optimized geometry, PBE.

Cell lengths 5.6153, 5.6153, 5.3279 Å; angles 90.00, 90.00, 90.00 degrees
Space group P4/mmm (No. 123)
Unique sites:
Rb 0.0000 0.0000 0.0000 x1
Ba 0.5000 0.5000 0.5000 x1
P 0.0000 0.0000 0.5000 x1
S 0.0000 0.5000 0.0000 x2

Values from the calculation:
As for the crystal system: tetragonal.

=====

x | RbBaPS2: optimized geometry, PBE.

Cell lengths 6.0156, 6.0156, 6.3191 Å; angles 90.00, 90.00, 90.00 degrees
Space group P4/mmm (No. 123)
Unique sites:
Rb 0.0000 0.0000 0.0000 x1
Ba 0.5000 0.5000 0.5000 x1
P 0.5000 0.5000 0.0000 x1
S 0.0000 0.5000 0.5000 x2

Values from the calculation:
As for the crystal system: tetragonal.

=====

Tell me which of them is the most stable. Sure, it is x.

=====

w | BaRePS2: optimized geometry, PBE.

Cell lengths 4.9211, 4.9211, 4.5978 Å; angles 90.00, 90.00, 90.00 degrees
Space group P4/mmm (No. 123)
Unique sites:
Ba 0.0000 0.0000 0.0000 x1
Re 0.5000 0.5000 0.5000 x1
P 0.5000 0.5000 0.0000 x1
S 0.0000 0.5000 0.5000 x2

Values from the calculation:
As for the crystal system: tetragonal.

=====

x | BaRePS2: optimized geometry, PBE.

Cell lengths 5.7208, 5.7208, 6.1075 Å; angles 90.00, 90.00, 90.00 degrees
Space group P4/mmm (No. 123)
Unique sites:
Ba 0.0000 0.0000 0.0000 x1
Re 0.5000 0.5000 0.5000 x1
P 0.0000 0.0000 0.5000 x1
S 0.0000 0.5000 0.0000 x2

Values from the calculation:
As for the crystal system: tetragonal.

=====

Tell me which of them is the most stable. Sure, it is w.

=====

w | BaV2ReP: optimized geometry, PBE.

Cell lengths 4.6384, 4.6384, 4.5880 Å; angles 90.00, 90.00, 90.00 degrees
Space group P4/mmm (No. 123)
Unique sites:
Ba 0.0000 0.0000 0.0000 x1
V 0.0000 0.5000 0.5000 x2
Re 0.5000 0.5000 0.0000 x1
P 0.5000 0.5000 0.5000 x1

Values from the calculation:
As for the crystal system: tetragonal.

=====

x | BaV2ReP: optimized geometry, PBE.

Cell lengths 4.9698, 4.9698, 4.6521 Å; angles 90.00, 90.00, 90.00 degrees
Space group P4/mmm (No. 123)
Unique sites:
Ba 0.0000 0.0000 0.0000 x1
V 0.0000 0.5000 0.5000 x2
Re 0.5000 0.5000 0.5000 x1
P 0.5000 0.5000 0.0000 x1

Values from the calculation:
As for the crystal system: tetragonal.

=====

Tell me which of them is the most stable. Sure, it is x.

=====

w | BaP3Rh: optimized geometry, PBE.

Cell lengths 5.4889, 5.4889, 5.4889 Å; angles 90.00, 90.00, 90.00 degrees
Space group Pm-3m (No. 221)
Unique sites:
Ba 0.0000 0.0000 0.0000 x1
P 0.0000 0.0000 0.5000 x3
Rh 0.5000 0.5000 0.5000 x1

Values from the calculation:
As for the crystal system: cubic.

=====

x | BaP3Rh: optimized geometry, PBE.

Cell lengths 4.8037, 4.8037, 4.8037 Å; angles 90.00, 90.00, 90.00 degrees
Space group Pm-3m (No. 221)
Unique sites:
Ba 0.0000 0.0000 0.0000 x1
P 0.0000 0.5000 0.5000 x3
Rh 0.5000 0.5000 0.5000 x1

Values from the calculation:
As for the crystal system: cubic.

=====

Tell me which of them is the most stable. Sure, it is x.

=====

w | Ba8PRh2: optimized geometry, PBE.

Cell lengths 15.2521, 9.1067, 7.8777 Å; angles 90.00, 92.42, 90.00 degrees
Space group C2/m (No. 12)
Unique sites:
Ba 0.1112 0.0000 0.2955 x4
Ba 0.1369 0.2745 0.8303 x8
Ba 0.1398 0.5000 0.2918 x4
P 0.0000 0.5000 0.0000 x2
Rh 0.2238 0.0000 0.0147 x4

Values from the calculation:
As for the crystal system: monoclinic.

=====

x | Ba8PRh2: optimized geometry, PBE.

Cell lengths 16.9059, 8.0927, 7.5218 Å; angles 90.00, 107.84, 90.00 degrees
Space group C2/m (No. 12)
Unique sites:
Ba 0.0815 0.0000 0.2786 x4
Ba 0.1282 0.2639 0.8489 x8
Ba 0.1746 0.5000 0.3664 x4
P 0.0000 0.5000 0.0000 x2
Rh 0.2312 0.0000 0.1788 x4

Values from the calculation:
As for the crystal system: monoclinic.

=====

Tell me which of them is the most stable. Sure, it is w.